[1]
4
Lattice="0.000 3.083 3.083 3.083 0.000 3.083 3.083 3.083 0.000" Properties=species:S:1:pos:R:3 comment="GGA-PBE HfCu2Os, optimized geometry" n_ef_per_ev_cell=4.83 polymorph_energy_mev_per_atom=0.0 pbc="T T T"
Hf 0.000 0.000 0.000
Cu 1.541 1.541 1.541
Cu 4.624 4.624 4.624
Os 3.083 3.083 3.083

---

[2]
4
Lattice="0.000 3.134 3.134 3.134 0.000 3.134 3.134 3.134 0.000" Properties=species:S:1:pos:R:3 comment="GGA-PBE HfCuOs2, optimized geometry" n_ef_per_ev_cell=4.02 polymorph_energy_mev_per_atom=0.0 pbc="T T T"
Hf 0.000 0.000 0.000
Cu 3.134 3.134 3.134
Os 1.567 1.567 1.567
Os 4.701 4.701 4.701

---

[3]
8
Lattice="-1.967 1.967 9.009 1.967 -1.967 9.009 1.967 1.967 -9.009" Properties=species:S:1:pos:R:3 comment="GGA-PBE HfCuOs2, optimized geometry" n_ef_per_ev_cell=6.32 polymorph_energy_mev_per_atom=261.7 pbc="T T T"
Hf 0.000 0.000 0.000
Hf 0.000 1.967 4.504
Cu 1.967 0.000 4.504
Cu 0.000 0.000 9.009
Os 0.983 -0.698 6.757
Os 1.269 0.983 2.252
Os 0.983 2.664 -2.252
Os 0.698 0.983 11.261

---

[4]
12
Lattice="2.288 -6.871 0.000 2.288 6.871 0.000 0.000 0.000 6.518" Properties=species:S:1:pos:R:3 comment="GGA-PBE Hf6Cu5Os, optimized geometry" n_ef_per_ev_cell=11.85 pbc="T T T"
Hf 0.000 0.000 1.611
Hf 0.000 0.000 4.907
Hf 2.288 2.269 1.626
Hf 2.288 2.269 4.892
Hf 2.288 -2.269 1.626
Hf 2.288 -2.269 4.892
Cu 2.288 4.620 3.259
Cu 2.288 4.516 0.000
Cu 2.288 0.000 3.259
Cu 2.288 -4.516 0.000
Cu 2.288 -4.620 3.259
Os 2.288 0.000 0.000

---

[5]
6
Lattice="3.220 0.000 0.000 0.000 3.220 0.000 0.000 0.000 10.936" Properties=species:S:1:pos:R:3 comment="GGA-PBE Hf4CuOs, optimized geometry" n_ef_per_ev_cell=3.93 polymorph_energy_mev_per_atom=0.0 pbc="T T T"
Hf 0.000 0.000 1.649
Hf 0.000 0.000 9.287
Hf 1.610 1.610 3.726
Hf 1.610 1.610 7.209
Cu 0.000 0.000 5.468
Os 1.610 1.610 0.000

---

[6]
12
Lattice="7.309 -3.236 0.000 7.309 3.236 0.000 -1.454 0.000 4.385" Properties=species:S:1:pos:R:3 comment="GGA-PBE Hf6CuOs5, optimized geometry" n_ef_per_ev_cell=5.24 pbc="T T T"
Hf 4.390 1.624 1.462
Hf 7.309 1.626 0.000
Hf 8.774 1.624 2.923
Hf 4.390 -1.624 1.462
Hf 7.309 -1.626 0.000
Hf 8.774 -1.624 2.923
Cu -0.727 0.000 2.192
Os 2.192 0.000 0.731
Os 3.666 0.000 3.655
Os 6.582 0.000 2.192
Os 9.498 0.000 0.730
Os 10.972 0.000 3.654

---

[7]
6
Lattice="4.585 0.000 0.000 -2.292 3.971 0.000 0.000 0.000 5.652" Properties=species:S:1:pos:R:3 comment="GGA-PBE Hf3Cu2Os, optimized geometry" n_ef_per_ev_cell=3.03 pbc="T T T"
Hf 0.000 0.000 0.000
Hf 0.000 2.647 3.748
Hf 2.292 1.324 1.904
Cu 0.000 2.647 0.870
Cu 2.292 1.324 4.782
Os 0.000 0.000 2.826

---

[8]
6
Lattice="7.168 -1.611 0.000 7.168 1.611 0.000 -2.094 0.000 5.076" Properties=species:S:1:pos:R:3 comment="GGA-PBE Hf4CuOs, optimized geometry" n_ef_per_ev_cell=6.65 polymorph_energy_mev_per_atom=295.4 pbc="T T T"
Hf 1.535 0.000 1.633
Hf 4.583 0.000 0.893
Hf 7.659 0.000 4.183
Hf 10.707 0.000 3.443
Cu -1.047 0.000 2.538
Os 7.168 0.000 0.000

---

[9]
10
Lattice="3.237 0.000 0.000 0.000 3.237 0.000 0.000 0.000 16.483" Properties=species:S:1:pos:R:3 comment="GGA-PBE Hf5CuOs4, optimized geometry" n_ef_per_ev_cell=2.89 pbc="T T T"
Hf 0.000 0.000 0.000
Hf 0.000 0.000 3.287
Hf 0.000 0.000 6.578
Hf 0.000 0.000 9.905
Hf 0.000 0.000 13.196
Cu 1.619 1.619 8.241
Os 1.619 1.619 1.645
Os 1.619 1.619 4.947
Os 1.619 1.619 11.535
Os 1.619 1.619 14.837

---

[10]
8
Lattice="3.233 0.000 0.000 0.000 3.233 0.000 0.000 0.000 13.218" Properties=species:S:1:pos:R:3 comment="GGA-PBE Hf4CuOs3, optimized geometry" n_ef_per_ev_cell=2.68 pbc="T T T"
Hf 0.000 0.000 1.644
Hf 0.000 0.000 4.941
Hf 0.000 0.000 8.277
Hf 0.000 0.000 11.574
Cu 1.617 1.617 6.609
Os 1.617 1.617 0.000
Os 1.617 1.617 3.311
Os 1.617 1.617 9.907

---

[11]
18
Lattice="5.580 0.000 0.000 0.000 7.232 0.000 -5.466 0.000 8.868" Properties=species:S:1:pos:R:3 comment="GGA-PBE Hf6CuOs2, optimized geometry" n_ef_per_ev_cell=15.00 pbc="T T T"
Hf -0.932 0.560 2.147
Hf -3.665 3.056 6.581
Hf 0.849 5.282 0.659
Hf -1.884 5.565 5.093
Hf 1.868 1.010 0.449
Hf -0.865 2.606 4.883
Hf 0.979 4.626 3.985
Hf -1.755 6.222 8.419
Hf 1.997 1.667 3.775
Hf -0.736 1.949 8.209
Hf 3.778 4.176 2.287
Hf 1.045 6.672 6.721
Cu 0.057 0.000 4.434
Cu 2.790 3.616 0.000
Os -2.203 0.711 6.262
Os 0.530 2.905 1.828
Os -0.417 4.327 7.040
Os 2.316 6.521 2.606

---

[12]
8
Lattice="-1.862 1.862 9.413 1.862 -1.862 9.413 1.862 1.862 -9.413" Properties=species:S:1:pos:R:3 comment="GGA-PBE HfCu2Os, optimized geometry" n_ef_per_ev_cell=5.68 polymorph_energy_mev_per_atom=252.8 pbc="T T T"
Hf 0.000 0.000 0.000
Hf 0.000 1.862 4.707
Cu 0.931 -0.809 7.060
Cu 1.054 0.931 2.353
Cu 0.931 2.671 -2.353
Cu 0.809 0.931 11.767
Os 1.862 0.000 4.707
Os 0.000 0.000 9.413

---

Number 1: calculated formation energy 3.38 kJ/mol of atoms. Number 2: calculated formation energy 11.67 kJ/mol of atoms. Number 3: calculated formation energy 36.93 kJ/mol of atoms. Number 4: calculated formation energy -22.22 kJ/mol of atoms. Number 5: calculated formation energy -26.89 kJ/mol of atoms. Number 6: calculated formation energy -59.07 kJ/mol of atoms. Number 7: calculated formation energy -34.42 kJ/mol of atoms. Number 8: calculated formation energy 1.61 kJ/mol of atoms. Number 9: calculated formation energy -57.20 kJ/mol of atoms. Number 10: calculated formation energy -54.46 kJ/mol of atoms. Number 11: calculated formation energy -14.58 kJ/mol of atoms. Number 12: calculated formation energy 27.77 kJ/mol of atoms.